# 1
# Sm3Ho2ErS6 (GGA-PBE, optimized geometry)
data_Sm3Ho2ErS6
_cell_length_a 6.789
_cell_length_b 11.802
_cell_length_c 6.877
_cell_angle_alpha 90.00
_cell_angle_beta 109.26
_cell_angle_gamma 90.00
_space_group_name_H-M_alt 'C 1 2/m 1'
_space_group_IT_number 12
_space_group_name_Hall '-C 2y'
loop_
_atom_site_label
_atom_site_fract_x
_atom_site_fract_y
_atom_site_fract_z
Sm1 0.000 0.000 0.000
Sm2 0.000 0.333 0.000
Ho1 0.000 0.167 0.500
Er1 0.000 0.500 0.500
S1 0.245 0.334 0.737
S2 0.247 0.000 0.738
# Energy relative to the elements, uncorrected ... -2003 meV per atom


# 2
# Nd8CuPt3Br4 (GGA-PBE, optimized geometry)
data_Nd8CuPt3Br4
_cell_length_a 14.619
_cell_length_b 8.440
_cell_length_c 9.135
_cell_angle_alpha 90.00
_cell_angle_beta 122.30
_cell_angle_gamma 90.00
_space_group_name_H-M_alt 'C 1 2/m 1'
_space_group_IT_number 12
_space_group_name_Hall '-C 2y'
loop_
_atom_site_label
_atom_site_fract_x
_atom_site_fract_y
_atom_site_fract_z
Nd1 0.017 0.249 0.300
Nd2 0.234 0.000 0.701
Nd3 0.234 0.500 0.700
Cu1 0.000 0.500 0.500
Pt1 0.000 0.000 0.500
Pt2 0.250 0.250 0.500
Br1 0.000 0.000 0.000
Br2 0.000 0.500 0.000
Br3 0.250 0.250 0.000
# Energy relative to the elements, uncorrected ... -1089 meV per atom


# 3
# InGaRu (GGA-PBE, optimized geometry)
data_InGaRu
_cell_length_a 3.284
_cell_length_b 3.284
_cell_length_c 9.384
_cell_angle_alpha 90.00
_cell_angle_beta 90.00
_cell_angle_gamma 90.00
_space_group_name_H-M_alt 'I 4 m m'
_space_group_IT_number 107
_space_group_name_Hall 'I 4 -2'
loop_
_atom_site_label
_atom_site_fract_x
_atom_site_fract_y
_atom_site_fract_z
In1 0.000 0.000 0.000
Ga1 0.000 0.000 0.306
Ru1 0.000 0.000 0.684
# Relative energy among the computed polymorphs ... 0 meV/atom


# 4
# As2BrNF (GGA-PBE, optimized geometry)
data_As2BrNF
_cell_length_a 4.311
_cell_length_b 4.311
_cell_length_c 4.748
_cell_angle_alpha 90.00
_cell_angle_beta 90.00
_cell_angle_gamma 90.00
_space_group_name_H-M_alt 'P 4/m m m'
_space_group_IT_number 123
_space_group_name_Hall '-P 4 2'
loop_
_atom_site_label
_atom_site_fract_x
_atom_site_fract_y
_atom_site_fract_z
As1 0.000 0.500 0.000
Br1 0.000 0.000 0.500
N1 0.000 0.000 0.000
F1 0.500 0.500 0.500
# Relative energy among the computed polymorphs ... 0 meV/atom
# Energy relative to the elements, uncorrected ... 657 meV per atom


# 5
# Pm2Dy6Ho3Zr (GGA-PBE, optimized geometry)
data_Pm2Dy6Ho3Zr
_cell_length_a 6.104
_cell_length_b 10.556
_cell_length_c 11.665
_cell_angle_alpha 90.00
_cell_angle_beta 99.96
_cell_angle_gamma 90.00
_space_group_name_H-M_alt 'C 1 2/m 1'
_space_group_IT_number 12
_space_group_name_Hall '-C 2y'
loop_
_atom_site_label
_atom_site_fract_x
_atom_site_fract_y
_atom_site_fract_z
Pm1 0.000 0.167 0.000
Dy1 0.244 0.500 0.753
Dy2 0.246 0.337 0.248
Ho1 0.000 0.000 0.500
Ho2 0.000 0.334 0.500
Zr1 0.000 0.500 0.000
# E ... -4.899 eV/atom


# 6
# BaMoRh2 (GGA-PBE, optimized geometry)
data_BaMoRh2
_cell_length_a 7.628
_cell_length_b 4.206
_cell_length_c 6.603
_cell_angle_alpha 90.00
_cell_angle_beta 109.77
_cell_angle_gamma 90.00
_space_group_name_H-M_alt 'C 1 m 1'
_space_group_IT_number 8
_space_group_name_Hall 'C -2y'
loop_
_atom_site_label
_atom_site_fract_x
_atom_site_fract_y
_atom_site_fract_z
Ba1 0.000 0.000 0.000
Mo1 0.212 0.000 0.545
Rh1 0.056 0.500 0.615
Rh2 0.330 0.500 0.413
# Relative energy among the computed polymorphs ... 84 meV/atom


# 7
# K3Tm3AlTe8 (GGA-PBE, optimized geometry)
data_K3Tm3AlTe8
_cell_length_a 14.881
_cell_length_b 8.580
_cell_length_c 9.904
_cell_angle_alpha 90.00
_cell_angle_beta 120.07
_cell_angle_gamma 90.00
_space_group_name_H-M_alt 'C 1 2/m 1'
_space_group_IT_number 12
_space_group_name_Hall '-C 2y'
loop_
_atom_site_label
_atom_site_fract_x
_atom_site_fract_y
_atom_site_fract_z
K1 0.000 0.000 0.000
K2 0.250 0.250 0.000
Tm1 0.000 0.500 0.500
Tm2 0.250 0.250 0.500
Al1 0.000 0.000 0.500
Te1 0.014 0.237 0.304
Te2 0.223 0.000 0.695
Te3 0.236 0.500 0.708
# Energy relative to the elements, uncorrected ... -1098 meV per atom


# 8
# Na3TaBi (GGA-PBE, optimized geometry)
data_Na3TaBi
_cell_length_a 5.850
_cell_length_b 5.850
_cell_length_c 5.850
_cell_angle_alpha 90.00
_cell_angle_beta 90.00
_cell_angle_gamma 90.00
_space_group_name_H-M_alt 'P m -3 m'
_space_group_IT_number 221
_space_group_name_Hall '-P 4 2 3'
loop_
_atom_site_label
_atom_site_fract_x
_atom_site_fract_y
_atom_site_fract_z
Na1 0.000 0.000 0.500
Ta1 0.500 0.500 0.500
Bi1 0.000 0.000 0.000
# Relative energy among the computed polymorphs ... 0 meV/atom